The following is a PBE calculation of a geometry-optimized Pm16Er6Tm7 structure, from Alexandria.

Structure (extended XYZ):
```
29
Lattice="9.708 0.000 5.605 3.236 9.153 5.605 0.000 0.000 11.210" Properties=species:S:1:pos:R:3 pbc="T T T"
Pm 11.331 8.012 14.004
Pm 11.331 8.012 19.625
Pm 9.708 3.423 16.815
Pm 6.463 8.012 16.815
Pm 1.613 1.141 2.794
Pm 1.613 1.141 8.415
Pm 3.236 5.730 5.605
Pm 6.481 1.141 5.605
Pm 8.397 5.937 7.876
Pm 8.397 5.937 14.544
Pm 6.472 0.494 11.210
Pm 2.623 5.937 11.210
Pm 4.547 3.215 7.876
Pm 4.547 3.215 14.544
Pm 6.472 8.659 11.210
Pm 10.321 3.215 11.210
Er 4.953 6.725 8.578
Er 7.991 2.428 13.841
Er 7.991 2.428 8.578
Er 4.953 6.725 13.841
Er 9.510 6.725 11.210
Er 3.434 2.428 11.210
Tm 0.000 0.000 0.000
Tm 4.854 0.000 8.407
Tm 1.618 4.576 2.802
Tm 1.618 4.576 8.407
Tm 4.854 0.000 2.802
Tm 0.000 0.000 5.605
Tm 6.472 4.576 5.605
```

E   -4.437 eV per atom
Calculated formation energy   208 meV per atom
Fermi-level density of states   39.30 states/eV/cell
Total moment   0.0000 μB per atom
Space-group type   Fm-3m